# NiSbOsO (GGA+U, relaxed)
data_NiSbOsO
_chemical_formula_sum 'Ni1 Sb1 Os1 O1'
_cell_length_a 2.9905
_cell_length_b 4.2226
_cell_length_c 6.2424
_cell_angle_alpha 84.73
_cell_angle_beta 76.20
_cell_angle_gamma 69.48
_space_group_name_H-M_alt 'P 1'
_space_group_IT_number 1
_space_group_name_Hall 'P 1'
loop_
_atom_site_label
_atom_site_type_symbol
_atom_site_fract_x
_atom_site_fract_y
_atom_site_fract_z
Ni1 Ni 0.0000 0.0000 0.0000
Sb1 Sb 0.6026 0.5661 0.2247
Os1 Os 0.7668 0.0058 0.4614
O1 O 0.1489 0.0206 0.6830
# Fermi-level density of states	0.36	states/eV/atom
# crystal system	triclinic
# raw total energy	-5.51	eV per atom
# ρ	8957	kg/m3
# total magnetization	0.21	μB/atom